1.
First-principles (PBE-GGA) data for NpNbIr after structural relaxation, as listed in Alexandria.

```
3
Lattice="-1.734 1.734 4.691 1.734 -1.734 4.691 1.734 1.734 -4.691" Properties=species:S:1:pos:R:3 pbc="T T T"
Np 0.000 0.000 0.000
Nb 0.000 0.000 2.974
Ir 0.000 0.000 6.128
```

- Volume: 56.43 Å³ per cell
- SG: I4mm (107)
- ΔE_f: 0.049 eV/atom
- Size of the total moment: 1.09 μB per atom
- Density of states at the Fermi level: 1.987 states/eV/atom
- Final energy: -10.5750 eV/atom

---

2.
First-principles (PBE-GGA) data for NpNbIr after structural relaxation, as listed in Alexandria.

```
6
Lattice="3.731 0.000 0.000 0.000 3.731 0.000 0.000 0.000 7.985" Properties=species:S:1:pos:R:3 pbc="T T T"
Np 0.933 2.798 0.000
Np 2.798 0.933 0.000
Nb 0.933 0.933 2.982
Nb 2.798 2.798 5.003
Ir 0.933 0.933 5.542
Ir 2.798 2.798 2.443
```

- Volume: 111.12 Å³ per cell
- SG: P4/nmm (129)
- ΔE_f: -0.036 eV/atom
- Size of the total moment: 0.73 μB per atom
- Density of states at the Fermi level: 1.350 states/eV/atom
- Final energy: -10.6600 eV/atom